Record 1
{
  "formula": "CaYGaIr",
  "functional": "GGA-PBE",
  "state": "relaxed",
  "relative_energy_mev_per_atom": 0,
  "total_energy_ev_per_atom": -5.701,
  "spacegroup": "Amm2, No. 38",
  "cell": [[4.103, 0.000, 0.000], [0.000, 4.066, 0.000], [-2.052, 0.000, 5.642]],
  "species": ["Ga", "Y", "Ca", "Ir"],
  "fractional_positions": [[0.563, 0.500, 0.125], [0.861, 0.500, 0.722], [0.151, 0.000, 0.301], [0.426, 0.000, 0.852]]
}

---

Record 2
{
  "formula": "CaZnGaIr",
  "functional": "GGA-PBE",
  "state": "relaxed",
  "relative_energy_mev_per_atom": 133,
  "total_energy_ev_per_atom": -4.094,
  "spacegroup": "F-43m, No. 216",
  "cell": [[4.590, 0.000, 0.000], [2.295, 3.975, 0.000], [2.295, 1.325, 3.748]],
  "species": ["Ca", "Ir", "Ga", "Zn"],
  "fractional_positions": [[0.500, 0.500, 0.500], [0.000, 0.000, 0.000], [0.250, 0.250, 0.250], [0.750, 0.750, 0.750]]
}

---

Record 3
{
  "formula": "Ca2ZnGa3Ir4",
  "functional": "GGA-PBE",
  "state": "relaxed",
  "total_energy_ev_per_atom": -5.491,
  "spacegroup": "P-4m2, No. 115",
  "cell": [[4.221, 0.000, 0.000], [0.000, 4.221, 0.000], [0.000, 0.000, 10.416]],
  "species": ["Ir", "Ir", "Ir", "Ca", "Ca", "Ir", "Ga", "Ga", "Zn", "Ga"],
  "fractional_positions": [[0.000, 0.500, 0.367], [0.500, 0.000, 0.633], [0.000, 0.000, 0.000], [0.500, 0.000, 0.244], [0.000, 0.500, 0.756], [0.500, 0.500, 0.000], [0.000, 0.500, 0.130], [0.500, 0.000, 0.870], [0.500, 0.500, 0.500], [0.000, 0.000, 0.500]]
}

---

Record 4
{
  "formula": "CaZn2GaIr",
  "functional": "GGA-PBE",
  "state": "relaxed",
  "relative_energy_mev_per_atom": 37,
  "total_energy_ev_per_atom": -3.583,
  "spacegroup": "P4/mmm, No. 123",
  "cell": [[-0.119, -1.063, 4.736], [0.548, -4.710, -1.044], [4.705, 0.496, 0.229]],
  "species": ["Zn", "Zn", "Ga", "Ca", "Ir"],
  "fractional_positions": [[0.000, 0.500, 0.000], [0.500, 0.000, 0.000], [0.000, 0.000, 0.500], [0.500, 0.500, 0.500], [0.000, 0.000, 0.000]]
}

---

Record 5
{
  "formula": "CaZnGa2Ir",
  "functional": "GGA-PBE",
  "state": "relaxed",
  "total_energy_ev_per_atom": -3.959,
  "spacegroup": "P4/mmm, No. 123",
  "cell": [[4.787, 0.000, 0.000], [0.000, 4.787, 0.000], [0.000, 0.000, 4.877]],
  "species": ["Ir", "Zn", "Ga", "Ca", "Ga"],
  "fractional_positions": [[0.000, 0.000, 0.000], [0.000, 0.000, 0.500], [0.000, 0.500, 0.000], [0.500, 0.500, 0.500], [0.500, 0.000, 0.000]]
}

---

Record 6
{
  "formula": "Ca2Zn6GaIr",
  "functional": "GGA-PBE",
  "state": "relaxed",
  "total_energy_ev_per_atom": -2.559,
  "spacegroup": "Pmmn, No. 59",
  "cell": [[-0.057, 6.667, 2.697], [-3.420, 2.074, -5.201], [-7.567, -1.789, 4.262]],
  "species": ["Zn", "Zn", "Zn", "Ca", "Zn", "Zn", "Zn", "Ca", "Zn", "Zn", "Zn", "Ir", "Zn", "Ir", "Zn", "Ga", "Ca", "Ga", "Zn", "Ca"],
  "fractional_positions": [[0.711, 0.372, 0.500], [0.000, 0.773, 0.255], [0.000, 0.773, 0.745], [0.000, 0.263, 0.222], [0.500, 0.227, 0.245], [0.289, 0.372, 0.500], [0.677, 0.052, 0.000], [0.500, 0.737, 0.722], [0.211, 0.628, 0.000], [0.323, 0.052, 0.000], [0.789, 0.628, 0.000], [0.000, 0.929, 0.000], [0.177, 0.948, 0.500], [0.500, 0.071, 0.500], [0.823, 0.948, 0.500], [0.500, 0.425, 0.000], [0.000, 0.263, 0.778], [0.000, 0.575, 0.500], [0.500, 0.227, 0.755], [0.500, 0.737, 0.278]]
}

---

Repeat the first record exactly.
{
  "formula": "CaYGaIr",
  "functional": "GGA-PBE",
  "state": "relaxed",
  "relative_energy_mev_per_atom": 0,
  "total_energy_ev_per_atom": -5.701,
  "spacegroup": "Amm2, No. 38",
  "cell": [[4.103, 0.000, 0.000], [0.000, 4.066, 0.000], [-2.052, 0.000, 5.642]],
  "species": ["Ga", "Y", "Ca", "Ir"],
  "fractional_positions": [[0.563, 0.500, 0.125], [0.861, 0.500, 0.722], [0.151, 0.000, 0.301], [0.426, 0.000, 0.852]]
}

---

Repeat the fourth record exactly.
{
  "formula": "CaZn2GaIr",
  "functional": "GGA-PBE",
  "state": "relaxed",
  "relative_energy_mev_per_atom": 37,
  "total_energy_ev_per_atom": -3.583,
  "spacegroup": "P4/mmm, No. 123",
  "cell": [[-0.119, -1.063, 4.736], [0.548, -4.710, -1.044], [4.705, 0.496, 0.229]],
  "species": ["Zn", "Zn", "Ga", "Ca", "Ir"],
  "fractional_positions": [[0.000, 0.500, 0.000], [0.500, 0.000, 0.000], [0.000, 0.000, 0.500], [0.500, 0.500, 0.500], [0.000, 0.000, 0.000]]
}